{
  "formula": "MgTlW",
  "functional": "GGA-PBEsol",
  "state": "relaxed",
  "lattice": [[3.0132, 0.0000, 0.0000], [-1.5066, 2.6095, 0.0000], [0.0000, 0.0000, 7.3096]],
  "species": ["Mg", "Tl", "W"],
  "frac_coords": [[0.0000, 0.0000, 0.0141], [0.6667, 0.3333, 0.6601], [0.3333, 0.6667, 0.3259]],
  "formation_energy_ev_per_atom": 0.61,
  "rho_g_cm3": 11.919,
  "energy_ev_per_cell": -16.3
}

{
  "formula": "MgHgAs2Br",
  "functional": "GGA-PBEsol",
  "state": "relaxed",
  "lattice": [[5.0904, 0.0000, 0.0000], [0.0000, 5.0904, 0.0000], [0.0000, 0.0000, 5.3764]],
  "species": ["Mg", "As", "As", "Hg", "Br"],
  "frac_coords": [[0.0000, 0.0000, 0.5000], [0.0000, 0.5000, 0.0000], [0.5000, 0.0000, 0.0000], [0.0000, 0.0000, 0.0000], [0.5000, 0.5000, 0.5000]],
  "rho_g_cm3": 5.419,
  "raw_formation_energy_ev_per_atom": 0.551,
  "energy_ev_per_cell": -11.6
}

{
  "formula": "Lu3Cu4Ge4",
  "functional": "GGA-PBEsol",
  "state": "relaxed",
  "lattice": [[-0.6171, -0.0106, -3.7610], [-2.3403, -3.2507, 0.3931], [-8.1551, 8.7551, 3.2446]],
  "species": ["Ge", "Ge", "Ge", "Ge", "Lu", "Lu", "Lu", "Cu", "Cu", "Cu", "Cu"],
  "frac_coords": [[0.9497, 0.4497, 0.8993], [0.0503, 0.5503, 0.1007], [0.1909, 0.1909, 0.3817], [0.8091, 0.8091, 0.6183], [0.3512, 0.3512, 0.7024], [0.6488, 0.6488, 0.2976], [0.5000, 0.0000, 0.0000], [0.9047, 0.9047, 0.8093], [0.2478, 0.7478, 0.4956], [0.7522, 0.2522, 0.5044], [0.0953, 0.0953, 0.1907]],
  "formation_energy_ev_per_atom": -0.59,
  "rho_g_cm3": 9.583,
  "energy_ev_per_cell": -58.1
}

{
  "formula": "Sr2ZnCu2",
  "functional": "GGA-PBEsol",
  "state": "relaxed",
  "lattice": [[4.2538, 0.0000, 0.0000], [0.0000, 7.4587, 0.0000], [0.0000, 0.0000, 7.4587]],
  "species": ["Sr", "Sr", "Sr", "Sr", "Zn", "Zn", "Cu", "Cu", "Cu", "Cu"],
  "frac_coords": [[0.5000, 0.1829, 0.6829], [0.5000, 0.6829, 0.8171], [0.5000, 0.8171, 0.3171], [0.5000, 0.3171, 0.1829], [0.0000, 0.0000, 0.0000], [0.0000, 0.5000, 0.5000], [0.0000, 0.3850, 0.8850], [0.0000, 0.8850, 0.6150], [0.0000, 0.6150, 0.1150], [0.0000, 0.1150, 0.3850]],
  "formation_energy_ev_per_atom": 0.01,
  "rho_g_cm3": 5.161,
  "energy_ev_per_cell": -27.7
}

Number 1: density of states at the Fermi level 1.52 states/eV/cell. Number 2: density of states at the Fermi level 4.99 states/eV/cell. Number 3: density of states at the Fermi level 4.35 states/eV/cell. Number 4: density of states at the Fermi level 5.25 states/eV/cell.